The following is a PBE-GGA calculation of a relaxed structure of TeOsRu, from the Alexandria database.

Values from the calculation:
Raw total energy: -6.86 eV per atom
Polymorph energy (0 for the lowest one): 0.4577 eV/atom
Size of the total moment: 0.0 μB/f.u.
Raw formation energy: 3.06 eV/f.u.

POSCAR file:
```
TeOsRu
1.0
7.629 -0.017 0.010
6.776 2.802 -0.007
0.854 -1.302 2.501
Os Ru Te
1 1 1
direct
0.988 0.988 0.012
0.344 0.344 0.656
0.668 0.668 0.332
```



The following is a PBE-GGA calculation of a relaxed structure of Te2OsRu, from the Alexandria database.

Values from the calculation:
Raw total energy: -6.14 eV per atom
Polymorph energy (0 for the lowest one): 0.2670 eV/atom
Size of the total moment: 0.0 μB/f.u.
Raw formation energy: 2.25 eV/f.u.

POSCAR file:
```
Te2OsRu
1.0
5.886 0.000 0.000
0.000 5.886 0.000
2.943 2.943 5.905
Ru Te Os
2 4 2
direct
0.500 0.500 0.000
0.250 0.750 0.500
0.625 0.125 0.250
0.125 0.625 0.250
0.375 0.375 0.750
0.875 0.875 0.750
0.000 0.000 0.000
0.750 0.250 0.500
```



The following is a PBE-GGA calculation of a relaxed structure of Te2OsRu, from the Alexandria database.

Values from the calculation:
Raw total energy: -6.14 eV per atom
Polymorph energy (0 for the lowest one): 0.2650 eV/atom
Size of the total moment: 0.0 μB/f.u.
Raw formation energy: 2.24 eV/f.u.

POSCAR file:
```
Te2OsRu
1.0
-0.871 -5.017 -0.467
2.011 -4.598 0.982
-2.060 -0.853 4.344
Os Ru Te
1 1 2
direct
0.496 0.496 0.530
0.254 0.254 0.219
0.993 0.993 0.089
0.758 0.758 0.662
```



The following is a PBE-GGA calculation of a relaxed structure of Te2OsRu, from the Alexandria database.

Values from the calculation:
Raw total energy: -6.03 eV per atom
Polymorph energy (0 for the lowest one): 0.3694 eV/atom
Size of the total moment: 0.8 μB/f.u.
Raw formation energy: 2.66 eV/f.u.

POSCAR file:
```
Te2OsRu
1.0
-1.007 -2.607 -1.790
3.083 -1.229 0.055
-1.425 -3.322 5.641
Os Ru Te
1 1 2
direct
0.500 0.500 0.250
0.500 0.500 0.750
0.000 0.000 0.998
0.000 0.000 0.502
```



- What is the raw formation energy in the fourth record?
  2.66 eV/f.u.



- Which of these has the highest raw formation energy?
  TeOsRu



- Which formula does entry 1 have?
  TeOsRu